Entry 1:
# Na2CrH8O8

Crystalline Na2CrH8O8 at its relaxed geometry (PBE with a Hubbard U, the Alexandria database).

```
Na2CrH8O8
1.0
-3.238 -4.133 3.400
9.466 -5.594 2.215
3.300 8.718 7.915
H O Na Cr
32 32 8 4
Direct
0.538 0.370 0.346
0.358 0.696 0.126
0.079 0.191 0.176
0.462 0.630 0.654
0.091 0.992 0.188
0.235 0.437 0.992
0.421 0.691 0.324
0.080 0.296 0.092
0.751 0.023 0.618
0.593 0.745 0.127
0.249 0.977 0.382
0.858 0.804 0.626
0.580 0.204 0.592
0.093 0.755 0.627
0.962 0.870 0.154
0.409 0.492 0.312
0.142 0.196 0.374
0.251 0.477 0.118
0.579 0.309 0.676
0.909 0.008 0.812
0.265 0.937 0.508
0.407 0.255 0.873
0.907 0.245 0.373
0.749 0.523 0.882
0.591 0.508 0.688
0.038 0.130 0.846
0.765 0.563 0.008
0.420 0.796 0.408
0.921 0.809 0.824
0.642 0.304 0.874
0.735 0.063 0.492
0.920 0.704 0.908
0.313 0.988 0.647
0.018 0.766 0.888
0.730 0.593 0.928
0.770 0.093 0.572
0.687 0.012 0.353
0.735 0.903 0.714
0.982 0.234 0.112
0.062 0.243 0.419
0.508 0.068 0.131
0.377 0.758 0.712
0.008 0.432 0.631
0.007 0.945 0.122
0.623 0.242 0.288
0.235 0.597 0.214
0.265 0.097 0.286
0.187 0.488 0.853
0.993 0.055 0.878
0.518 0.734 0.388
0.938 0.757 0.581
0.438 0.743 0.081
0.562 0.257 0.919
0.123 0.258 0.788
0.813 0.512 0.147
0.230 0.907 0.428
0.482 0.266 0.612
0.507 0.555 0.622
0.270 0.407 0.072
0.765 0.403 0.786
0.493 0.445 0.378
0.877 0.742 0.212
0.992 0.568 0.369
0.492 0.932 0.869
0.251 0.424 0.497
0.751 0.076 0.997
0.637 0.326 0.111
0.863 0.826 0.389
0.249 0.924 0.003
0.363 0.674 0.889
0.137 0.174 0.611
0.749 0.576 0.503
0.978 0.604 0.237
0.478 0.896 0.737
0.522 0.104 0.263
0.022 0.396 0.763
```

Properties
Density of states at the Fermi level, states/eV/cell: 0.0



Entry 2:
# NaCrH2O4

Crystalline NaCrH2O4 at its relaxed geometry (PBE with a Hubbard U, the Alexandria database).

```
NaCrH2O4
1.0
4.234 0.000 0.000
2.117 4.446 0.005
2.117 0.370 4.430
O Cr H Na
4 1 2 1
Direct
0.931 0.469 0.209
0.609 0.531 0.791
0.391 0.209 0.469
0.069 0.791 0.531
0.500 0.500 0.500
0.833 0.667 0.667
0.167 0.333 0.333
0.000 0.000 0.000
```



| no. | E (eV for the cell shown) |
| --- | --- |
| 1 | -402.61 |
| 2 | -44.59 |